(1)
The following is a PBE calculation of a relaxed Ca4CeTh3As8 crystal, from Alexandria via LeMat-Bulk.

Values from the calculation:
Final energy in eV/atom: -5.928

Structure (CIF):
```
data_Ca4CeTh3As8
_cell_length_a 8.5848
_cell_length_b 8.5848
_cell_length_c 20.6659
_cell_angle_alpha 90.00
_cell_angle_beta 90.00
_cell_angle_gamma 120.00
_symmetry_space_group_name_H-M 'R -3 m'
_symmetry_Int_Tables_number 166
_symmetry_space_group_name_Hall '-R 3 2"'
loop_
_atom_site_label
_atom_site_type_symbol
_atom_site_fract_x
_atom_site_fract_y
_atom_site_fract_z
_atom_site_occupancy
Ca1 Ca 0.0000 0.0000 0.0000 1
Ca2 Ca 0.0000 0.5000 0.0000 1
Ce1 Ce 0.0000 0.0000 0.5000 1
Th1 Th 0.0000 0.5000 0.5000 1
As1 As 0.0000 0.0000 0.2471 1
As2 As 0.0031 0.5015 0.2461 1
```



(2)
The following is a PBE calculation of a relaxed Cs12Pb3I5 crystal, from Alexandria via LeMat-Bulk.

Values from the calculation:
Formation energy without anion corrections in eV/f.u.: -14.0

Structure (CIF):
```
data_Cs12Pb3I5
_cell_length_a 22.928
_cell_length_b 22.928
_cell_length_c 22.928
_cell_angle_alpha 90.00
_cell_angle_beta 90.00
_cell_angle_gamma 90.00
_symmetry_space_group_name_H-M 'I a -3 d'
_symmetry_Int_Tables_number 230
_symmetry_space_group_name_Hall '-I 4bd 2c 3'
loop_
_atom_site_label
_atom_site_type_symbol
_atom_site_fract_x
_atom_site_fract_y
_atom_site_fract_z
_atom_site_occupancy
Cs1 Cs 0.015 0.069 0.654 1
Pb1 Pb 0.000 0.250 0.125 1
I1 I 0.000 0.000 0.000 1
I2 I 0.000 0.250 0.375 1
```



(3)
The following is a PBE calculation of a relaxed Na2TlS2 crystal, from Alexandria via LeMat-Bulk.

Values from the calculation:
Relative energy among the computed polymorphs in meV/atom: 162
Formation energy without anion corrections in eV/f.u.: -2.6

Structure (CIF):
```
data_Na2TlS2
_cell_length_a 4.633
_cell_length_b 4.633
_cell_length_c 11.570
_cell_angle_alpha 90.00
_cell_angle_beta 90.00
_cell_angle_gamma 90.00
_symmetry_space_group_name_H-M 'I 4/m m m'
_symmetry_Int_Tables_number 139
_symmetry_space_group_name_Hall '-I 4 2'
loop_
_atom_site_label
_atom_site_type_symbol
_atom_site_fract_x
_atom_site_fract_y
_atom_site_fract_z
_atom_site_occupancy
Na1 Na 0.000 0.500 0.250 1
Tl1 Tl 0.000 0.000 0.000 1
S1 S 0.000 0.000 0.382 1
```



(4)
The following is a PBE calculation of a relaxed NaBAs crystal, from Alexandria via LeMat-Bulk.

Values from the calculation:
Relative energy among the computed polymorphs in meV/atom: 0

Structure (CIF):
```
data_NaBAs
_cell_length_a 10.415
_cell_length_b 3.108
_cell_length_c 8.049
_cell_angle_alpha 90.00
_cell_angle_beta 115.93
_cell_angle_gamma 90.00
_symmetry_space_group_name_H-M 'C 1 m 1'
_symmetry_Int_Tables_number 8
_symmetry_space_group_name_Hall 'C -2y'
loop_
_atom_site_label
_atom_site_type_symbol
_atom_site_fract_x
_atom_site_fract_y
_atom_site_fract_z
_atom_site_occupancy
Na1 Na 0.000 0.000 0.000 1
Na2 Na 0.002 0.500 0.515 1
B1 B 0.307 0.000 0.683 1
B2 B 0.308 0.500 0.607 1
As1 As 0.213 0.500 0.332 1
As2 As 0.220 0.000 0.860 1
```



(5)
The following is a PBE calculation of a relaxed Pm2Dy9Sc crystal, from Alexandria via LeMat-Bulk.

Values from the calculation:
Final energy in eV/atom: -4.741

Structure (CIF):
```
data_Pm2Dy9Sc
_cell_length_a 5.010
_cell_length_b 5.010
_cell_length_c 14.982
_cell_angle_alpha 90.00
_cell_angle_beta 90.00
_cell_angle_gamma 90.00
_symmetry_space_group_name_H-M 'P 4/m m m'
_symmetry_Int_Tables_number 123
_symmetry_space_group_name_Hall '-P 4 2'
loop_
_atom_site_label
_atom_site_type_symbol
_atom_site_fract_x
_atom_site_fract_y
_atom_site_fract_z
_atom_site_occupancy
Pm1 Pm 0.000 0.000 0.169 1
Dy1 Dy 0.000 0.500 0.000 1
Dy2 Dy 0.000 0.500 0.339 1
Dy3 Dy 0.500 0.500 0.170 1
Dy4 Dy 0.500 0.500 0.500 1
Sc1 Sc 0.000 0.000 0.500 1
```



(6)
The following is a PBE calculation of a relaxed Sb4I2F5 crystal, from Alexandria via LeMat-Bulk.

Values from the calculation:
Formation energy without anion corrections in eV/f.u.: -14.0

Structure (CIF):
```
data_Sb4I2F5
_cell_length_a 12.416
_cell_length_b 5.922
_cell_length_c 9.424
_cell_angle_alpha 90.00
_cell_angle_beta 118.69
_cell_angle_gamma 90.00
_symmetry_space_group_name_H-M 'C 1 2/m 1'
_symmetry_Int_Tables_number 12
_symmetry_space_group_name_Hall '-C 2y'
loop_
_atom_site_label
_atom_site_type_symbol
_atom_site_fract_x
_atom_site_fract_y
_atom_site_fract_z
_atom_site_occupancy
Sb1 Sb 0.084 0.000 0.442 1
Sb2 Sb 0.145 0.000 0.935 1
I1 I 0.060 0.500 0.339 1
F1 F 0.000 0.000 0.000 1
F2 F 0.216 0.247 0.110 1
```



(7)
The following is a PBE calculation of a relaxed Li3Cd4Ni crystal, from Alexandria via LeMat-Bulk.

Values from the calculation:
Final energy in eV/atom: -2.092

Structure (CIF):
```
data_Li3Cd4Ni
_cell_length_a 6.387
_cell_length_b 6.403
_cell_length_c 13.407
_cell_angle_alpha 90.00
_cell_angle_beta 90.00
_cell_angle_gamma 90.00
_symmetry_space_group_name_H-M 'F m m m'
_symmetry_Int_Tables_number 69
_symmetry_space_group_name_Hall '-F 2 2'
loop_
_atom_site_label
_atom_site_type_symbol
_atom_site_fract_x
_atom_site_fract_y
_atom_site_fract_z
_atom_site_occupancy
Li1 Li 0.000 0.000 0.000 1
Li2 Li 0.000 0.000 0.256 1
Cd1 Cd 0.250 0.250 0.119 1
Ni1 Ni 0.000 0.000 0.500 1
```



(8)
The following is a PBE calculation of a relaxed Ba2Pb2I crystal, from Alexandria via LeMat-Bulk.

Values from the calculation:
Relative energy among the computed polymorphs in meV/atom: 71
Formation energy without anion corrections in eV/f.u.: -3.4

Structure (CIF):
```
data_Ba2Pb2I
_cell_length_a 9.617
_cell_length_b 9.617
_cell_length_c 4.686
_cell_angle_alpha 90.00
_cell_angle_beta 90.00
_cell_angle_gamma 90.00
_symmetry_space_group_name_H-M 'P 4/m b m'
_symmetry_Int_Tables_number 127
_symmetry_space_group_name_Hall '-P 4 2ab'
loop_
_atom_site_label
_atom_site_type_symbol
_atom_site_fract_x
_atom_site_fract_y
_atom_site_fract_z
_atom_site_occupancy
Ba1 Ba 0.189 0.311 0.000 1
Pb1 Pb 0.106 0.606 0.500 1
I1 I 0.000 0.000 0.500 1
```



| no. | magnetization (μB/cell) |
| --- | --- |
| 1 | 0.0 |
| 2 | 40.2 |
| 3 | 2.0 |
| 4 | 0.0 |
| 5 | 0.0 |
| 6 | 0.0 |
| 7 | 0.0 |
| 8 | 0.0 |